VASP calculation (PBE) on an optimized crystal structure of LiNd.

a b c (Å): 4.3898 4.3898 4.3898
angles (deg): 60.00 60.00 60.00
With the nearest neighbours (Å) after each atom.
Atoms (fractional coordinates):
1 Li 0.0000 0.0000 0.0000  6 Nd 3.10
2 Nd 0.5000 0.5000 0.5000  6 Li 3.10

Calculated values
- E (eV per cell) = -5.668
- magnetization (μB/cell) = 1.278
- crystal system = cubic
- calculated volume (Å³/atom) = 29.91
- excess energy over the best structure of this formula in the dataset (meV/atom) = 353.1

=====

VASP calculation (PBE) on an optimized crystal structure of TmI4.

a b c (Å): 7.5940 7.5940 10.3477
angles (deg): 93.52 93.52 119.24
With the nearest neighbours (Å) after each atom.
Atoms (fractional coordinates):
1 I 0.8915 0.8915 0.1672  2 Tm 3.02
2 I 0.5231 0.1617 0.1735  2 Tm 2.99-3.00
3 I 0.1617 0.5231 0.1735  2 Tm 2.99-3.00
4 I 0.6487 0.6487 0.4412  1 I 2.72
5 I 0.3513 0.3513 0.5588  1 I 2.72
6 I 0.8383 0.4769 0.8265  2 Tm 2.99-3.00
7 I 0.4769 0.8383 0.8265  2 Tm 2.99-3.00
8 I 0.1085 0.1085 0.8328  2 Tm 3.02
9 Tm 0.8276 0.1724 0.0000  6 I 2.99-3.02
10 Tm 0.1724 0.8276 0.0000  6 I 2.99-3.02

Calculated values
- E (eV per cell) = -31.996
- magnetization (μB/cell) = 0.006
- crystal system = monoclinic
- calculated volume (Å³/atom) = 51.69

=====

VASP calculation (PBE) on an optimized crystal structure of LiSc2Os.

a b c (Å): 6.4746 6.4766 6.6285
angles (deg): 90.00 90.00 90.00
With the nearest neighbours (Å) after each atom.
Atoms (fractional coordinates):
1 Li 0.2503 0.2500 0.0000  8 Sc 2.83
2 Li 0.7497 0.7500 0.0000  8 Sc 2.83
3 Li 0.7503 0.7500 0.5000  8 Sc 2.83
4 Li 0.2497 0.2500 0.5000  8 Sc 2.83
5 Os 0.7499 0.2500 0.0000  8 Sc 2.83
6 Os 0.2501 0.7500 0.0000  8 Sc 2.83
7 Os 0.7501 0.2500 0.5000  8 Sc 2.83
8 Os 0.2499 0.7500 0.5000  8 Sc 2.83
9 Sc 0.0000 0.0000 0.2499  4 Li 2.83, 4 Os 2.83
10 Sc 0.0000 0.5000 0.2499  4 Li 2.83, 4 Os 2.83
11 Sc 0.5000 0.0000 0.2501  4 Li 2.83, 4 Os 2.83
12 Sc 0.5000 0.5000 0.2501  4 Li 2.83, 4 Os 2.83
13 Sc 0.5000 0.0000 0.7499  4 Li 2.83, 4 Os 2.83
14 Sc 0.5000 0.5000 0.7499  4 Li 2.83, 4 Os 2.83
15 Sc 0.0000 0.0000 0.7501  4 Li 2.83, 4 Os 2.83
16 Sc 0.0000 0.5000 0.7501  4 Li 2.83, 4 Os 2.83

Calculated values
- E (eV per cell) = -106.641
- magnetization (μB/cell) = 0.019
- crystal system = tetragonal
- calculated volume (Å³/atom) = 17.37
- excess energy over the best structure of this formula in the dataset (meV/atom) = 115.4

=====

VASP calculation (PBE) on an optimized crystal structure of YZnAgPd.

a b c (Å): 4.7672 4.7672 4.7672
angles (deg): 60.00 60.00 60.00
With the nearest neighbours (Å) after each atom.
Atoms (fractional coordinates):
1 Ag 0.5000 0.5000 0.5000  4 Zn 2.92, 4 Y 2.92
2 Pd 0.0000 0.0000 0.0000  4 Zn 2.92, 4 Y 2.92
3 Y 0.7500 0.7500 0.7500  4 Ag 2.92, 4 Pd 2.92
4 Zn 0.2500 0.2500 0.2500  4 Ag 2.92, 4 Pd 2.92

Calculated values
- E (eV per cell) = -17.608
- magnetization (μB/cell) = 0.001
- crystal system = cubic
- calculated volume (Å³/atom) = 19.15
- excess energy over the best structure of this formula in the dataset (meV/atom) = 0.0
- E_form (kJ per mole of atoms) = -45

=====

VASP calculation (PBE) on an optimized crystal structure of NaCu3F7.

a b c (Å): 6.9099 6.9917 6.9917
angles (deg): 61.57 116.99 116.99
With the nearest neighbours (Å) after each atom.
Atoms (fractional coordinates):
1 Cu 0.0000 0.0000 0.0000  4 F 1.88-1.90
2 Cu 0.5000 0.0000 0.0000  4 F 1.88-1.90
3 Cu 0.5000 0.5000 0.0000  4 F 1.90-1.95
4 Cu 0.0000 0.5000 0.0000  4 F 1.88-1.93
5 Cu 0.5000 0.0000 0.5000  4 F 1.88-1.93
6 Cu 0.0000 0.0000 0.5000  4 F 1.90-1.95
7 F 0.8245 0.6297 0.0288  2 Cu 1.93-1.95
8 F 0.2500 0.8878 0.1122  2 Cu 1.90
9 F 0.5050 0.6977 0.1180  2 Cu 1.88-1.90
10 F 0.9950 0.8820 0.3023  2 Cu 1.88-1.90
11 F 0.1053 0.3676 0.3186  1 Cu 1.88
12 F 0.6053 0.3186 0.3676  1 Cu 1.88
13 F 0.6755 0.9712 0.3703  2 Cu 1.93-1.95
14 F 0.3245 0.0288 0.6297  2 Cu 1.93-1.95
15 F 0.3947 0.6814 0.6324  1 Cu 1.88
16 F 0.8947 0.6324 0.6814  1 Cu 1.88
17 F 0.0050 0.1180 0.6977  2 Cu 1.88-1.90
18 F 0.4950 0.3023 0.8820  2 Cu 1.88-1.90
19 F 0.7500 0.1122 0.8878  2 Cu 1.90
20 F 0.1755 0.3703 0.9712  2 Cu 1.93-1.95
21 Na 0.5000 0.5000 0.5000  6 F 2.36
22 Na 0.0000 0.5000 0.5000  6 F 2.36

Calculated values
- E (eV per cell) = -88.577
- crystal system = monoclinic
- calculated volume (Å³/atom) = 11.46

=====

VASP calculation (PBE) on an optimized crystal structure of BeAl2Cu.

a b c (Å): 4.2327 4.2327 4.2327
angles (deg): 60.00 60.00 60.00
With the nearest neighbours (Å) after each atom.
Atoms (fractional coordinates):
1 Al 0.0000 0.0000 0.0000  4 Cu 2.59, 4 Al 2.59
2 Al 0.7500 0.7500 0.7500  4 Be 2.59, 4 Al 2.59
3 Be 0.5000 0.5000 0.5000  4 Cu 2.59, 4 Al 2.59
4 Cu 0.2500 0.2500 0.2500  4 Al 2.59, 4 Be 2.59

Calculated values
- E (eV per cell) = -14.023
- crystal system = cubic
- calculated volume (Å³/atom) = 13.41